A relaxed Tb4Dy3Tm crystal. Source: Alexandria via LeMat-Bulk, functional GGA-PBE.

abc: 6.261 7.240 11.226
angles: 90.00 90.00 90.00
Atoms (fractional coordinates):
Tb 0.149 0.874 0.000
Tb 0.647 0.126 0.000
Tb 0.981 0.126 0.249
Tb 0.481 0.874 0.251
Tb 0.147 0.874 0.500
Tb 0.649 0.126 0.500
Tb 0.481 0.874 0.749
Tb 0.981 0.126 0.751
Dy 0.648 0.624 0.000
Dy 0.981 0.624 0.250
Dy 0.481 0.376 0.250
Dy 0.148 0.376 0.500
Dy 0.481 0.376 0.750
Dy 0.981 0.624 0.750
Tm 0.148 0.376 0.000
Tm 0.648 0.624 0.500

Summary:
The calculation puts the excess energy over the best structure of this formula in the dataset at 0 meV/atom. As for the formation energy: 0.1 eV/f.u.